Crystalline SeBr4 at its relaxed geometry, computed with PBE.

Calculated values
spin magnetization = 0.000 μB/atom
D(E_F) = 0.00 states/eV/atom
raw total energy = -21.51 eV per cell
energy above the lowest structure with this stoichiometry = 4 meV/atom
formation energy without anion corrections = -0.12 eV/atom

Unit cell a=7.831 b=7.831 c=6.742 alpha=90.92 beta=90.92 gamma=65.73
Sites, in units of the cell vectors:
Se  0.140  0.860  0.750
Se  0.860  0.140  0.250
Br  0.007  0.227  0.941
Br  0.218  0.557  0.599
Br  0.227  0.007  0.441
Br  0.443  0.782  0.901
Br  0.557  0.218  0.099
Br  0.773  0.993  0.559
Br  0.782  0.443  0.401
Br  0.993  0.773  0.059